1.
Here is an optimized crystal structure of Sm2GaCl from Alexandria via LeMat-Bulk. Energies are from GGA-PBE.

abc: 3.7235 3.7235 8.7484
angles: 77.71 77.71 60.00
Fractional coordinates of all 4 atoms:
Sm (0.0816, 0.0816, 0.7552)
Sm (0.2524, 0.2524, 0.2428)
Ga (0.6670, 0.6670, 0.9989)
Cl (0.4990, 0.4990, 0.5031)

Summary:
Crystal system: trigonal
D(E_F) (states/eV/f.u.): 1.6
SG: R3m (160)
Formation energy (no corrections) (meV per atom): -953
Total magnetic moment (μB/atom): 0.0002
Distance to the lowest polymorph of the same formula (meV per atom): 35.0

---

2.
Here is an optimized crystal structure of Sm2GaCl2 from Alexandria via LeMat-Bulk. Energies are from GGA-PBE.

abc: 3.9940 3.9945 10.7844
angles: 90.45 90.00 120.00
Fractional coordinates of all 5 atoms:
Sm (0.8308, 0.6615, 0.3226)
Sm (0.1692, 0.3385, 0.6774)
Ga (0.5000, 0.0000, 0.5000)
Cl (0.1619, 0.3238, 0.1692)
Cl (0.8381, 0.6762, 0.8308)

Summary:
Crystal system: monoclinic
D(E_F) (states/eV/f.u.): 1.7
SG: C2/m (12)
Formation energy (no corrections) (meV per atom): -1459
Total magnetic moment (μB/atom): 0.0000

---

3.
Here is an optimized crystal structure of Sm2GaCl from Alexandria via LeMat-Bulk. Energies are from GGA-PBE.

abc: 4.2067 4.2067 7.2137
angles: 73.05 73.05 60.00
Fractional coordinates of all 4 atoms:
Ga (0.5000, 0.5000, 0.5000)
Sm (0.7531, 0.7531, 0.7408)
Sm (0.2469, 0.2469, 0.2592)
Cl (0.0000, 0.0000, 0.0000)

Summary:
Crystal system: trigonal
D(E_F) (states/eV/f.u.): 2.1
SG: R-3m (166)
Formation energy (no corrections) (meV per atom): -988
Total magnetic moment (μB/atom): 0.0000
Distance to the lowest polymorph of the same formula (meV per atom): 0.0

---

4.
Here is an optimized crystal structure of Sm2GaCl from Alexandria via LeMat-Bulk. Energies are from GGA-PBE.

abc: 3.4376 3.4376 8.0961
angles: 90.00 90.00 90.00
Fractional coordinates of all 4 atoms:
Ga (0.5000, 0.5000, 0.0000)
Sm (0.0000, 0.0000, 0.7659)
Sm (0.0000, 0.0000, 0.2341)
Cl (0.5000, 0.5000, 0.5000)

Summary:
Crystal system: tetragonal
D(E_F) (states/eV/f.u.): 2.3
SG: P4/mmm (123)
Formation energy (no corrections) (meV per atom): -921
Total magnetic moment (μB/atom): 0.0000
Distance to the lowest polymorph of the same formula (meV per atom): 67.3

---

5.
Here is an optimized crystal structure of SmGaSn2Cl8 from Alexandria via LeMat-Bulk. Energies are from GGA-PBE.

abc: 6.8142 6.5489 8.7672
angles: 91.28 91.40 88.90
Fractional coordinates of all 12 atoms:
Sm (0.0000, 0.0000, 0.0000)
Ga (0.0000, 0.0000, 0.5000)
Sn (0.5065, 0.5017, 0.7443)
Sn (0.4935, 0.4983, 0.2557)
Cl (0.1515, 0.7634, 0.2275)
Cl (0.6880, 0.7440, 0.9723)
Cl (0.8147, 0.2067, 0.2292)
Cl (0.8485, 0.2366, 0.7725)
Cl (0.3120, 0.2560, 0.0277)
Cl (0.1853, 0.7933, 0.7708)
Cl (0.6622, 0.7103, 0.5296)
Cl (0.3378, 0.2897, 0.4704)

Summary:
Crystal system: triclinic
D(E_F) (states/eV/f.u.): 0.0
SG: P-1 (2)
Formation energy (no corrections) (meV per atom): -1367
Total magnetic moment (μB/atom): 0.0000

---

6.
Here is an optimized crystal structure of Sm3GaTeCl from Alexandria via LeMat-Bulk. Energies are from GGA-PBE.

abc: 4.1728 8.8432 9.8692
angles: 98.35 90.00 90.00
Each line ends with the local moment (μB).
Fractional coordinates of all 12 atoms:
Sm (0.7500, 0.8086, 0.1115)  0.00
Sm (0.2500, 0.1914, 0.8885)  0.00
Sm (0.2500, 0.6413, 0.4002)  0.17
Sm (0.7500, 0.3587, 0.5998)  0.17
Sm (0.7500, 0.3376, 0.2020)  0.07
Sm (0.2500, 0.6624, 0.7980)  0.07
Ga (0.2500, 0.5452, 0.0872)  0.01
Ga (0.7500, 0.4548, 0.9128)  0.01
Te (0.2500, 0.0783, 0.1848)  0.00
Te (0.7500, 0.9217, 0.8152)  0.00
Cl (0.2500, 0.1506, 0.5947)  0.01
Cl (0.7500, 0.8494, 0.4053)  0.01

Summary:
Crystal system: monoclinic
D(E_F) (states/eV/f.u.): 4.5
SG: P2_1/m (11)
Formation energy (no corrections) (meV per atom): -1073
Total magnetic moment (μB/atom): 0.0996

---

7.
Here is an optimized crystal structure of SmTl2GaCl6 from Alexandria via LeMat-Bulk. Energies are from GGA-PBE.

abc: 7.7694 7.7696 7.9043
angles: 60.54 60.54 59.98
Fractional coordinates of all 10 atoms:
Sm (0.3200, 0.3200, 0.0400)
Tl (0.5351, 0.5349, 0.3951)
Tl (0.0286, 0.0287, 0.9142)
Ga (0.8127, 0.8128, 0.5617)
Cl (0.5719, 0.1772, 0.2580)
Cl (0.1771, 0.9929, 0.2580)
Cl (0.9928, 0.5721, 0.2579)
Cl (0.4558, 0.6560, 0.7766)
Cl (0.6562, 0.1113, 0.7768)
Cl (0.1114, 0.4559, 0.7768)

Summary:
Crystal system: trigonal
D(E_F) (states/eV/f.u.): 0.0
SG: R3 (146)
Formation energy (no corrections) (meV per atom): -1474
Total magnetic moment (μB/atom): 0.0000

---

8.
Here is an optimized crystal structure of Ga2SnCl4 from Alexandria via LeMat-Bulk. Energies are from GGA-PBE.

abc: 7.9781 7.9781 8.1319
angles: 112.53 112.53 102.64
Fractional coordinates of all 14 atoms:
Sn (0.7975, 0.2975, 0.5000)
Sn (0.5475, 0.5475, 0.0000)
Ga (0.3098, 0.4737, 0.3707)
Ga (0.1031, 0.9392, 0.6293)
Ga (0.1892, 0.8531, 0.1293)
Ga (0.7237, 0.0598, 0.8707)
Cl (0.3988, 0.7433, 0.7680)
Cl (0.9933, 0.1488, 0.2680)
Cl (0.1399, 0.4002, 0.8812)
Cl (0.6502, 0.8899, 0.3812)
Cl (0.5087, 0.2690, 0.6188)
Cl (0.9753, 0.6308, 0.2320)
Cl (0.8808, 0.7253, 0.7320)
Cl (0.5190, 0.2587, 0.1188)

Summary:
Crystal system: orthorhombic
D(E_F) (states/eV/f.u.): 0.0
SG: Fdd2 (43)
Formation energy (no corrections) (meV per atom): -801
Total magnetic moment (μB/atom): 0.0000
Distance to the lowest polymorph of the same formula (meV per atom): 0.0

---

9.
Here is an optimized crystal structure of GaSnCl4 from Alexandria via LeMat-Bulk. Energies are from GGA-PBE.

abc: 6.0041 6.5530 6.5530
angles: 102.12 117.27 62.73
Each line ends with the local moment (μB).
Fractional coordinates of all 6 atoms:
Ga (0.5000, 0.0000, 0.0000)  0.01
Sn (0.7500, 0.5000, 0.5000)  0.39
Cl (0.4468, 0.9707, 0.3038)  0.01
Cl (0.1138, 0.0293, 0.6962)  0.01
Cl (0.5824, 0.3038, 0.0293)  0.01
Cl (0.8569, 0.6962, 0.9707)  0.01

Summary:
Crystal system: tetragonal
SG: I-4 (82)
Formation energy (no corrections) (meV per atom): -811
Total magnetic moment (μB/atom): 0.1667

---

10.
Here is an optimized crystal structure of Ga5Sn3Cl12 from Alexandria via LeMat-Bulk. Energies are from GGA-PBE.

abc: 14.6260 14.6260 14.6260
angles: 109.47 109.47 109.47
Fractional coordinates of all 80 atoms:
Sn (0.7500, 0.3750, 0.1250)
Sn (0.8750, 0.7500, 0.1250)
Sn (0.3750, 0.7500, 0.6250)
Sn (0.2500, 0.1250, 0.3750)
Sn (0.8750, 0.1250, 0.2500)
Sn (0.3750, 0.6250, 0.2500)
Sn (0.6250, 0.3750, 0.7500)
Sn (0.1250, 0.8750, 0.7500)
Sn (0.7500, 0.8750, 0.6250)
Sn (0.6250, 0.2500, 0.3750)
Sn (0.1250, 0.2500, 0.8750)
Sn (0.2500, 0.6250, 0.8750)
Ga (0.1250, 0.3750, 0.2500)
Ga (0.0000, 0.5000, 0.0000)
Ga (0.0000, 0.0000, 0.0000)
Ga (0.3750, 0.2500, 0.1250)
Ga (0.5000, 0.0000, 0.5000)
Ga (0.5000, 0.5000, 0.0000)
Ga (0.1250, 0.7500, 0.3750)
Ga (0.7500, 0.1250, 0.8750)
Ga (0.7500, 0.6250, 0.3750)
Ga (0.3750, 0.1250, 0.7500)
Ga (0.6250, 0.8750, 0.2500)
Ga (0.5000, 0.5000, 0.5000)
Ga (0.5000, 0.0000, 0.0000)
Ga (0.0000, 0.0000, 0.5000)
Ga (0.2500, 0.3750, 0.6250)
Ga (0.2500, 0.8750, 0.1250)
Ga (0.0000, 0.5000, 0.5000)
Ga (0.8750, 0.2500, 0.6250)
Ga (0.6250, 0.7500, 0.8750)
Ga (0.8750, 0.6250, 0.7500)
Cl (0.7316, 0.1314, 0.0527)
Cl (0.3211, 0.5527, 0.4214)
Cl (0.9473, 0.3686, 0.2684)
Cl (0.5527, 0.2316, 0.1314)
Cl (0.6003, 0.7316, 0.6789)
Cl (0.9473, 0.5786, 0.1789)
Cl (0.3211, 0.7684, 0.3997)
Cl (0.0786, 0.8997, 0.1314)
Cl (0.5786, 0.9473, 0.6789)
Cl (0.7316, 0.6003, 0.1789)
Cl (0.7684, 0.4473, 0.3686)
Cl (0.8211, 0.9214, 0.0527)
Cl (0.1314, 0.7316, 0.5527)
Cl (0.3686, 0.4214, 0.1003)
Cl (0.1003, 0.9214, 0.3686)
Cl (0.3997, 0.1314, 0.5786)
Cl (0.1003, 0.1789, 0.2316)
Cl (0.4473, 0.6789, 0.0786)
Cl (0.8211, 0.8997, 0.2684)
Cl (0.1314, 0.3997, 0.0786)
Cl (0.3686, 0.9473, 0.7684)
Cl (0.5786, 0.6314, 0.3997)
Cl (0.9214, 0.8211, 0.5527)
Cl (0.7684, 0.3211, 0.8997)
Cl (0.4214, 0.3686, 0.6003)
Cl (0.0786, 0.1789, 0.4473)
Cl (0.2316, 0.6789, 0.1003)
Cl (0.1789, 0.1003, 0.7316)
Cl (0.6314, 0.0527, 0.2316)
Cl (0.8686, 0.6003, 0.9214)
Cl (0.5527, 0.3211, 0.9214)
Cl (0.6003, 0.8686, 0.4214)
Cl (0.8997, 0.8211, 0.7684)
Cl (0.8997, 0.0786, 0.6314)
Cl (0.8686, 0.2684, 0.4473)
Cl (0.1789, 0.0786, 0.9473)
Cl (0.6314, 0.5786, 0.8997)
Cl (0.4214, 0.0527, 0.3211)
Cl (0.2684, 0.3997, 0.8211)
Cl (0.2316, 0.5527, 0.6314)
Cl (0.9214, 0.1003, 0.8686)
Cl (0.6789, 0.2316, 0.6003)
Cl (0.4473, 0.7684, 0.8686)
Cl (0.0527, 0.4214, 0.8211)
Cl (0.3997, 0.2684, 0.3211)
Cl (0.0527, 0.6314, 0.7316)
Cl (0.6789, 0.4473, 0.5786)
Cl (0.2684, 0.8686, 0.9473)

Summary:
Crystal system: cubic
D(E_F) (states/eV/f.u.): 14.2
SG: Ia-3d (230)
Formation energy (no corrections) (meV per atom): -710
Total magnetic moment (μB/atom): 0.0000

---

11.
Here is an optimized crystal structure of Ga2SnCl4 from Alexandria via LeMat-Bulk. Energies are from GGA-PBE.

abc: 5.6573 5.6573 8.2866
angles: 109.96 109.96 90.00
Fractional coordinates of all 7 atoms:
Sn (0.0000, 0.0000, 0.0000)
Ga (0.6328, 0.6328, 0.2657)
Ga (0.3672, 0.3672, 0.7343)
Cl (0.8064, 0.8064, 0.6128)
Cl (0.1936, 0.1936, 0.3872)
Cl (0.0000, 0.5000, 0.0000)
Cl (0.5000, 0.0000, 0.0000)

Summary:
Crystal system: tetragonal
SG: I4/mmm (139)
Formation energy (no corrections) (meV per atom): -759
Total magnetic moment (μB/atom): 0.0000
Distance to the lowest polymorph of the same formula (meV per atom): 42.3

---

12.
Here is an optimized crystal structure of Ga6SnCl12 from Alexandria via LeMat-Bulk. Energies are from GGA-PBE.

abc: 11.3092 11.3092 11.3092
angles: 116.97 116.97 116.97
Each line ends with the local moment (μB).
Fractional coordinates of all 19 atoms:
Ga (0.0987, 0.2864, 0.3406)  0.13
Ga (0.7136, 0.6594, 0.9013)  0.13
Ga (0.6594, 0.9013, 0.7136)  0.13
Ga (0.9013, 0.7136, 0.6594)  0.13
Ga (0.2864, 0.3406, 0.0987)  0.13
Ga (0.3406, 0.0987, 0.2864)  0.13
Sn (0.0000, 0.0000, 0.0000)  0.00
Cl (0.5433, 0.3042, 0.6513)  0.06
Cl (0.3042, 0.6513, 0.5433)  0.06
Cl (0.6513, 0.5433, 0.3042)  0.06
Cl (0.4567, 0.6958, 0.3487)  0.06
Cl (0.6958, 0.3487, 0.4567)  0.06
Cl (0.3487, 0.4567, 0.6958)  0.06
Cl (0.0995, 0.1934, 0.7794)  0.04
Cl (0.2206, 0.9005, 0.8066)  0.04
Cl (0.8066, 0.2206, 0.9005)  0.04
Cl (0.9005, 0.8066, 0.2206)  0.04
Cl (0.7794, 0.0995, 0.1934)  0.04
Cl (0.1934, 0.7794, 0.0995)  0.04

Summary:
Crystal system: trigonal
D(E_F) (states/eV/f.u.): 6.6
SG: R-3 (148)
Formation energy (no corrections) (meV per atom): -814
Total magnetic moment (μB/atom): 0.0978

---

13.
Here is an optimized crystal structure of Ga2Sn2Cl from Alexandria via LeMat-Bulk. Energies are from GGA-PBE.

abc: 3.9875 3.9875 8.1600
angles: 75.86 75.86 90.00
Fractional coordinates of all 5 atoms:
Sn (0.3951, 0.3951, 0.2098)
Sn (0.6049, 0.6049, 0.7902)
Ga (0.7500, 0.2500, 0.5000)
Ga (0.2500, 0.7500, 0.5000)
Cl (0.0000, 0.0000, 0.0000)

Summary:
Crystal system: tetragonal
D(E_F) (states/eV/f.u.): 2.6
SG: I4/mmm (139)
Formation energy (no corrections) (meV per atom): -117
Total magnetic moment (μB/atom): 0.0000
Distance to the lowest polymorph of the same formula (meV per atom): 0.0

---

14.
Here is an optimized crystal structure of Ga2Sn2Cl from Alexandria via LeMat-Bulk. Energies are from GGA-PBE.

abc: 8.1553 8.1553 3.7637
angles: 90.00 90.00 90.00
Fractional coordinates of all 10 atoms:
Sn (0.3123, 0.8123, 0.0000)
Sn (0.8123, 0.6877, 0.0000)
Sn (0.6877, 0.1877, 0.0000)
Sn (0.1877, 0.3123, 0.0000)
Ga (0.1152, 0.6152, 0.5000)
Ga (0.6152, 0.8848, 0.5000)
Ga (0.8848, 0.3848, 0.5000)
Ga (0.3848, 0.1152, 0.5000)
Cl (0.0000, 0.0000, 0.0000)
Cl (0.5000, 0.5000, 0.0000)

Summary:
Crystal system: tetragonal
D(E_F) (states/eV/f.u.): 2.1
SG: P4/mbm (127)
Formation energy (no corrections) (meV per atom): -99
Total magnetic moment (μB/atom): 0.0000
Distance to the lowest polymorph of the same formula (meV per atom): 17.8

---

15.
Here is an optimized crystal structure of Ga2Sn2Cl7 from Alexandria via LeMat-Bulk. Energies are from GGA-PBE.

abc: 8.8270 6.5677 6.5677
angles: 114.29 94.21 94.21
Fractional coordinates of all 11 atoms:
Ga (0.4286, 0.3202, 0.3202)
Ga (0.5714, 0.6798, 0.6798)
Sn (0.0000, 0.3199, 0.6801)
Sn (0.0000, 0.6801, 0.3199)
Cl (0.7501, 0.8785, 0.5441)
Cl (0.2499, 0.4559, 0.1215)
Cl (0.2499, 0.1215, 0.4559)
Cl (0.7501, 0.5441, 0.8785)
Cl (0.5000, 0.0000, 0.0000)
Cl (0.1257, 0.7125, 0.7125)
Cl (0.8743, 0.2875, 0.2875)

Summary:
Crystal system: monoclinic
D(E_F) (states/eV/f.u.): 0.9
SG: C2/m (12)
Formation energy (no corrections) (meV per atom): -894
Total magnetic moment (μB/atom): 0.0000

---

16.
Here is an optimized crystal structure of GaSnCl2 from Alexandria via LeMat-Bulk. Energies are from GGA-PBE.

abc: 8.0958 8.0958 6.5982
angles: 52.16 52.16 90.00
Fractional coordinates of all 8 atoms:
Sn (0.0000, 0.0000, 0.0000)
Sn (0.7500, 0.2500, 0.5000)
Ga (0.5000, 0.5000, 0.0000)
Ga (0.2500, 0.7500, 0.5000)
Cl (0.6397, 0.1250, 0.2500)
Cl (0.1103, 0.6250, 0.2500)
Cl (0.3750, 0.3603, 0.7500)
Cl (0.8750, 0.8897, 0.7500)

Summary:
Crystal system: tetragonal
D(E_F) (states/eV/f.u.): 1.1
SG: I-42d (122)
Formation energy (no corrections) (meV per atom): -484
Total magnetic moment (μB/atom): 0.0000
Distance to the lowest polymorph of the same formula (meV per atom): 0.0

---

17.
Here is an optimized crystal structure of GaSnCl3 from Alexandria via LeMat-Bulk. Energies are from GGA-PBE.

abc: 5.6540 7.1965 8.1778
angles: 96.56 90.00 90.00
Fractional coordinates of all 10 atoms:
Ga (0.2500, 0.2903, 0.6054)
Ga (0.7500, 0.7097, 0.3946)
Sn (0.2500, 0.2046, 0.1058)
Sn (0.7500, 0.7954, 0.8942)
Cl (0.7500, 0.9931, 0.6561)
Cl (0.7500, 0.5026, 0.6528)
Cl (0.2500, 0.0069, 0.3439)
Cl (0.2500, 0.4974, 0.3472)
Cl (0.2500, 0.8259, 0.9020)
Cl (0.7500, 0.1741, 0.0980)

Summary:
Crystal system: monoclinic
D(E_F) (states/eV/f.u.): 0.0
SG: P2_1/m (11)
Formation energy (no corrections) (meV per atom): -856
Total magnetic moment (μB/atom): 0.0000

---

18.
Here is an optimized crystal structure of Ga2SnCl6 from Alexandria via LeMat-Bulk. Energies are from GGA-PBE.

abc: 6.6001 10.0469 10.0469
angles: 85.96 84.90 84.90
Fractional coordinates of all 18 atoms:
Ga (0.2343, 0.5034, 0.6639)
Ga (0.2657, 0.3361, 0.4966)
Ga (0.7657, 0.4966, 0.3361)
Ga (0.7343, 0.6639, 0.5034)
Sn (0.2500, 0.0814, 0.9186)
Sn (0.7500, 0.9186, 0.0814)
Cl (0.3891, 0.7021, 0.5913)
Cl (0.1109, 0.4087, 0.2979)
Cl (0.6109, 0.2979, 0.4087)
Cl (0.8891, 0.5913, 0.7021)
Cl (0.8225, 0.8641, 0.4537)
Cl (0.6775, 0.5463, 0.1359)
Cl (0.1775, 0.1359, 0.5463)
Cl (0.3225, 0.4537, 0.8641)
Cl (0.1302, 0.8444, 0.9447)
Cl (0.3698, 0.0553, 0.1556)
Cl (0.8698, 0.1556, 0.0553)
Cl (0.6302, 0.9447, 0.8444)

Summary:
Crystal system: monoclinic
D(E_F) (states/eV/f.u.): 0.0
SG: C2/c (15)
Formation energy (no corrections) (meV per atom): -995
Total magnetic moment (μB/atom): 0.0000

---

19.
Here is an optimized crystal structure of GaSnCl2 from Alexandria via LeMat-Bulk. Energies are from GGA-PBE.

abc: 5.1636 5.1636 5.1636
angles: 60.00 60.00 60.00
Fractional coordinates of all 4 atoms:
Sn (0.5000, 0.5000, 0.5000)
Ga (0.0000, 0.0000, 0.0000)
Cl (0.2500, 0.2500, 0.2500)
Cl (0.7500, 0.7500, 0.7500)

Summary:
Crystal system: cubic
D(E_F) (states/eV/f.u.): 2.2
SG: Fm-3m (225)
Formation energy (no corrections) (meV per atom): -394
Total magnetic moment (μB/atom): 0.0000
Distance to the lowest polymorph of the same formula (meV per atom): 91.0